w | The following is a PBE-GGA calculation of an optimized crystal structure of SnBI2N, from Alexandria via LeMat-Bulk.

Calculated values
**DOS(E_F)**: 0.51 states/eV/atom

Cell: 6.077 6.077 3.905 Å, 90.00 90.00 90.00°
Space group P4/mmm (No. 123)
Unique sites:
Sn: 0.000 0.000 0.000 (multiplicity 1)
B: 0.500 0.500 0.500 (multiplicity 1)
I: 0.000 0.500 0.000 (multiplicity 2)
N: 0.000 0.000 0.500 (multiplicity 1)

---

x | The following is a PBE-GGA calculation of an optimized crystal structure of SnBI2N, from Alexandria via LeMat-Bulk.

Calculated values
**DOS(E_F)**: 0.36 states/eV/atom

Cell: 6.733 6.733 2.852 Å, 90.00 90.00 90.00°
Space group P4/mmm (No. 123)
Unique sites:
Sn: 0.000 0.000 0.000 (multiplicity 1)
B: 0.500 0.500 0.500 (multiplicity 1)
I: 0.000 0.500 0.500 (multiplicity 2)
N: 0.500 0.500 0.000 (multiplicity 1)

---

Preferred: x; penalty for the next structure: 1271 meV per atom.

---

w | The following is a PBE-GGA calculation of an optimized crystal structure of TaBI2N, from Alexandria via LeMat-Bulk.

Calculated values
**DOS(E_F)**: 0.57 states/eV/atom

Cell: 5.667 5.667 3.916 Å, 90.00 90.00 90.00°
Space group P4/mmm (No. 123)
Unique sites:
Ta: 0.000 0.000 0.000 (multiplicity 1)
B: 0.500 0.500 0.500 (multiplicity 1)
I: 0.000 0.500 0.000 (multiplicity 2)
N: 0.000 0.000 0.500 (multiplicity 1)

---

x | The following is a PBE-GGA calculation of an optimized crystal structure of TaBI2N, from Alexandria via LeMat-Bulk.

Calculated values
**DOS(E_F)**: 0.50 states/eV/atom

Cell: 6.437 6.437 2.773 Å, 90.00 90.00 90.00°
Space group P4/mmm (No. 123)
Unique sites:
Ta: 0.000 0.000 0.000 (multiplicity 1)
B: 0.500 0.500 0.500 (multiplicity 1)
I: 0.000 0.500 0.500 (multiplicity 2)
N: 0.500 0.500 0.000 (multiplicity 1)

---

Preferred: x; penalty for the next structure: 147 meV per atom.

---

w | The following is a PBE-GGA calculation of an optimized crystal structure of TcBI2N, from Alexandria via LeMat-Bulk.

Calculated values
**DOS(E_F)**: 0.82 states/eV/atom

Cell: 5.547 5.547 3.752 Å, 90.00 90.00 90.00°
Space group P4/mmm (No. 123)
Unique sites:
Tc: 0.000 0.000 0.000 (multiplicity 1)
B: 0.500 0.500 0.500 (multiplicity 1)
I: 0.000 0.500 0.000 (multiplicity 2)
N: 0.000 0.000 0.500 (multiplicity 1)

---

x | The following is a PBE-GGA calculation of an optimized crystal structure of TcBI2N, from Alexandria via LeMat-Bulk.

Calculated values
**DOS(E_F)**: 1.33 states/eV/atom

Cell: 5.234 5.234 4.153 Å, 90.00 90.00 90.00°
Space group P4/mmm (No. 123)
Unique sites:
Tc: 0.000 0.000 0.000 (multiplicity 1)
B: 0.000 0.000 0.500 (multiplicity 1)
I: 0.000 0.500 0.500 (multiplicity 2)
N: 0.500 0.500 0.000 (multiplicity 1)

---

Preferred: w; penalty for the next structure: 1033 meV per atom.

---

w | The following is a PBE-GGA calculation of an optimized crystal structure of BTeI2N, from Alexandria via LeMat-Bulk.

Calculated values
**DOS(E_F)**: 0.65 states/eV/atom

Cell: 8.902 8.902 2.735 Å, 90.00 90.00 90.00°
Space group P4/mmm (No. 123)
Unique sites:
B: 0.000 0.000 0.000 (multiplicity 1)
Te: 0.500 0.500 0.500 (multiplicity 1)
I: 0.000 0.500 0.000 (multiplicity 2)
N: 0.000 0.000 0.500 (multiplicity 1)

---

x | The following is a PBE-GGA calculation of an optimized crystal structure of BTeI2N, from Alexandria via LeMat-Bulk.

Calculated values
**DOS(E_F)**: 0.40 states/eV/atom

Cell: 6.199 6.199 3.996 Å, 90.00 90.00 90.00°
Space group P4/mmm (No. 123)
Unique sites:
B: 0.000 0.000 0.000 (multiplicity 1)
Te: 0.500 0.500 0.500 (multiplicity 1)
I: 0.000 0.500 0.500 (multiplicity 2)
N: 0.500 0.500 0.000 (multiplicity 1)

---

y | The following is a PBE-GGA calculation of an optimized crystal structure of BTeI2N, from Alexandria via LeMat-Bulk.

Calculated values
**DOS(E_F)**: 0.41 states/eV/atom

Cell: 4.943 4.943 4.851 Å, 90.00 90.00 90.00°
Space group P4/mmm (No. 123)
Unique sites:
B: 0.000 0.000 0.000 (multiplicity 1)
Te: 0.500 0.500 0.000 (multiplicity 1)
I: 0.000 0.500 0.500 (multiplicity 2)
N: 0.500 0.500 0.500 (multiplicity 1)

---

Preferred: w; penalty for the next structure: 1462 meV per atom.

---

w | The following is a PBE-GGA calculation of an optimized crystal structure of TiBI2N, from Alexandria via LeMat-Bulk.

Calculated values
**DOS(E_F)**: 0.32 states/eV/atom

Cell: 5.673 5.673 3.753 Å, 90.00 90.00 90.00°
Space group P4/mmm (No. 123)
Unique sites:
Ti: 0.000 0.000 0.000 (multiplicity 1)
B: 0.500 0.500 0.500 (multiplicity 1)
I: 0.000 0.500 0.000 (multiplicity 2)
N: 0.000 0.000 0.500 (multiplicity 1)

---

x | The following is a PBE-GGA calculation of an optimized crystal structure of TiBI2N, from Alexandria via LeMat-Bulk.

Calculated values
**DOS(E_F)**: 0.90 states/eV/atom

Cell: 6.511 6.511 2.800 Å, 90.00 90.00 90.00°
Space group P4/mmm (No. 123)
Unique sites:
Ti: 0.000 0.000 0.000 (multiplicity 1)
B: 0.500 0.500 0.500 (multiplicity 1)
I: 0.000 0.500 0.500 (multiplicity 2)
N: 0.500 0.500 0.000 (multiplicity 1)

---

Preferred: x; penalty for the next structure: 328 meV per atom.

---

w | The following is a PBE-GGA calculation of an optimized crystal structure of TlBI2N, from Alexandria via LeMat-Bulk.

Calculated values
**DOS(E_F)**: 0.49 states/eV/atom

Cell: 6.934 6.934 2.861 Å, 90.00 90.00 90.00°
Space group P4/mmm (No. 123)
Unique sites:
Tl: 0.000 0.000 0.000 (multiplicity 1)
B: 0.500 0.500 0.500 (multiplicity 1)
I: 0.000 0.500 0.500 (multiplicity 2)
N: 0.500 0.500 0.000 (multiplicity 1)

---

x | The following is a PBE-GGA calculation of an optimized crystal structure of TlBI2N, from Alexandria via LeMat-Bulk.

Calculated values
**DOS(E_F)**: 0.52 states/eV/atom

Cell: 6.193 6.193 4.318 Å, 90.00 90.00 90.00°
Space group P4/mmm (No. 123)
Unique sites:
Tl: 0.000 0.000 0.000 (multiplicity 1)
B: 0.500 0.500 0.500 (multiplicity 1)
I: 0.000 0.500 0.000 (multiplicity 2)
N: 0.000 0.000 0.500 (multiplicity 1)

---

Preferred: w; penalty for the next structure: 1713 meV per atom.

---

w | The following is a PBE-GGA calculation of an optimized crystal structure of YBI2N, from Alexandria via LeMat-Bulk.

Calculated values
**DOS(E_F)**: 0.59 states/eV/atom

Cell: 6.168 6.168 4.140 Å, 90.00 90.00 90.00°
Space group P4/mmm (No. 123)
Unique sites:
Y: 0.000 0.000 0.000 (multiplicity 1)
B: 0.500 0.500 0.500 (multiplicity 1)
I: 0.000 0.500 0.000 (multiplicity 2)
N: 0.000 0.000 0.500 (multiplicity 1)

---

x | The following is a PBE-GGA calculation of an optimized crystal structure of YBI2N, from Alexandria via LeMat-Bulk.

Calculated values
**DOS(E_F)**: 0.69 states/eV/atom

Cell: 6.199 6.199 2.977 Å, 90.00 90.00 90.00°
Space group P4/mmm (No. 123)
Unique sites:
Y: 0.000 0.000 0.000 (multiplicity 1)
B: 0.500 0.500 0.500 (multiplicity 1)
I: 0.000 0.500 0.500 (multiplicity 2)
N: 0.500 0.500 0.000 (multiplicity 1)

---

Preferred: x; penalty for the next structure: 607 meV per atom.

---

w | The following is a PBE-GGA calculation of an optimized crystal structure of YBIN2, from Alexandria via LeMat-Bulk.

Calculated values
**DOS(E_F)**: 0.44 states/eV/atom

Cell: 4.437 4.437 6.415 Å, 90.00 90.00 90.00°
Space group P4/mmm (No. 123)
Unique sites:
Y: 0.000 0.000 0.000 (multiplicity 1)
B: 0.500 0.500 0.500 (multiplicity 1)
I: 0.000 0.000 0.500 (multiplicity 1)
N: 0.000 0.500 0.000 (multiplicity 2)

---

x | The following is a PBE-GGA calculation of an optimized crystal structure of YBIN2, from Alexandria via LeMat-Bulk.

Calculated values
**DOS(E_F)**: 0.51 states/eV/atom

Cell: 4.014 4.014 4.589 Å, 90.00 90.00 90.00°
Space group P4/mmm (No. 123)
Unique sites:
Y: 0.000 0.000 0.000 (multiplicity 1)
B: 0.500 0.500 0.500 (multiplicity 1)
I: 0.500 0.500 0.000 (multiplicity 1)
N: 0.000 0.500 0.500 (multiplicity 2)

---

Preferred: x; penalty for the next structure: 293 meV per atom.